(1)
The following is a PBE-GGA calculation of a relaxed structure of Tb5Pr2Y12, from Alexandria via LeMat-Bulk.

a b c (Å): 6.1669 8.8932 11.7492
angles (deg): 91.00 102.61 96.54
Closest atoms and distances in Å follow each position.
Sites, in units of the cell vectors:
Tb  0.0000  0.0000  0.0000  8 Y 3.51-3.60, 4 Tb 3.55-3.61
Tb  0.4321  0.9491  0.8448  4 Tb 3.50-3.63, 8 Y 3.50-3.67
Tb  0.4797  0.5821  0.7483  2 Pr 3.35-3.74, 8 Y 3.45-3.72, 1 Tb 3.50
Tb  0.5203  0.4179  0.2517  2 Pr 3.35-3.74, 8 Y 3.45-3.72, 1 Tb 3.50
Tb  0.5679  0.0509  0.1552  4 Tb 3.50-3.63, 8 Y 3.50-3.67
Pr  0.1263  0.4671  0.4002  1 Pr 3.17, 1 Tb 3.35, 4 Y 3.42-3.54
Pr  0.8737  0.5329  0.5998  1 Pr 3.17, 1 Tb 3.35, 4 Y 3.42-3.54
Y  0.0557  0.6338  0.8984  1 Pr 3.51, 7 Y 3.52-3.60, 4 Tb 3.52-3.59
Y  0.1275  0.0928  0.3084  7 Y 3.47-3.82, 1 Pr 3.48, 4 Tb 3.50-3.72
Y  0.2002  0.7381  0.2047  1 Pr 3.42, 7 Y 3.47-3.72, 3 Tb 3.51-3.63
Y  0.2414  0.2175  0.6309  8 Y 3.51-3.82, 2 Tb 3.53-3.60, 2 Pr 3.54-3.78
Y  0.3135  0.8401  0.5323  8 Y 3.51-3.83, 2 Tb 3.51-3.67, 2 Pr 3.59-3.84
Y  0.3694  0.3156  0.9446  5 Tb 3.45-3.60, 7 Y 3.54-3.66
Y  0.6306  0.6844  0.0554  5 Tb 3.45-3.60, 7 Y 3.54-3.66
Y  0.6865  0.1599  0.4677  8 Y 3.51-3.83, 2 Tb 3.51-3.67, 2 Pr 3.59-3.84
Y  0.7586  0.7825  0.3691  8 Y 3.51-3.82, 2 Tb 3.53-3.60, 2 Pr 3.54-3.78
Y  0.7998  0.2619  0.7953  1 Pr 3.42, 7 Y 3.47-3.72, 3 Tb 3.51-3.63
Y  0.8725  0.9072  0.6916  7 Y 3.47-3.82, 1 Pr 3.48, 4 Tb 3.50-3.72
Y  0.9443  0.3662  0.1016  1 Pr 3.51, 7 Y 3.52-3.60, 4 Tb 3.52-3.59

Properties
Crystal system: triclinic
Symmetry: P-1 (2)

***

(2)
The following is a PBE-GGA calculation of a relaxed structure of Tb5Pr2Y12, from Alexandria via LeMat-Bulk.

a b c (Å): 9.1473 9.1473 8.6304
angles (deg): 91.31 91.31 61.57
Closest atoms and distances in Å follow each position.
Sites, in units of the cell vectors:
Tb  0.0000  0.0000  0.0000  10 Y 3.50-3.75, 2 Tb 3.67
Tb  0.2309  0.2309  0.0750  8 Y 3.40-3.52, 2 Tb 3.67-3.69
Tb  0.3001  0.3001  0.4868  8 Y 3.45-3.72, 2 Pr 3.57, 1 Tb 3.69
Tb  0.6999  0.6999  0.5132  8 Y 3.45-3.72, 2 Pr 3.57, 1 Tb 3.69
Tb  0.7691  0.7691  0.9250  8 Y 3.40-3.52, 2 Tb 3.67-3.69
Pr  0.3197  0.6803  0.5000  1 Pr 3.38, 8 Y 3.41-3.63, 2 Tb 3.57
Pr  0.6803  0.3197  0.5000  1 Pr 3.38, 8 Y 3.41-3.63, 2 Tb 3.57
Y  0.0255  0.6672  0.2585  4 Y 3.36-3.68, 1 Pr 3.41, 4 Tb 3.52-3.73
Y  0.0870  0.0870  0.3781  3 Tb 3.45-3.50, 2 Pr 3.47, 5 Y 3.50-3.68
Y  0.1814  0.5633  0.8448  4 Tb 3.40-3.75, 6 Y 3.43-3.80, 1 Pr 3.63
Y  0.3328  0.9745  0.7415  4 Y 3.36-3.68, 1 Pr 3.41, 4 Tb 3.52-3.73
Y  0.4367  0.8186  0.1552  4 Tb 3.40-3.75, 6 Y 3.43-3.80, 1 Pr 3.63
Y  0.4422  0.4422  0.1703  2 Tb 3.40-3.57, 2 Pr 3.41, 7 Y 3.43-3.50
Y  0.5578  0.5578  0.8297  2 Tb 3.40-3.57, 2 Pr 3.41, 7 Y 3.43-3.50
Y  0.5633  0.1814  0.8448  4 Tb 3.40-3.75, 6 Y 3.43-3.80, 1 Pr 3.63
Y  0.6672  0.0255  0.2585  4 Y 3.36-3.68, 1 Pr 3.41, 4 Tb 3.52-3.73
Y  0.8186  0.4367  0.1552  4 Tb 3.40-3.75, 6 Y 3.43-3.80, 1 Pr 3.63
Y  0.9130  0.9130  0.6219  3 Tb 3.45-3.50, 2 Pr 3.47, 5 Y 3.50-3.68
Y  0.9745  0.3328  0.7415  4 Y 3.36-3.68, 1 Pr 3.41, 4 Tb 3.52-3.73

Properties
Crystal system: monoclinic
Symmetry: C2/m (12)

***

The most stable arrangement is (1), and the next structure is 8.3 kJ/mol of atoms less stable.

***

(1)
The following is a PBE-GGA calculation of a relaxed structure of Tb3Pr5Y, from Alexandria via LeMat-Bulk.

a b c (Å): 10.7114 10.7114 11.8197
angles (deg): 121.43 121.43 34.48
Closest atoms and distances in Å follow each position.
Sites, in units of the cell vectors:
Tb  0.0000  0.0000  0.0000  2 Y 3.02, 2 Pr 3.17
Tb  0.0000  0.0000  0.5000  2 Y 3.02, 2 Pr 3.17
Tb  0.0468  0.6006  0.9743  1 Y 3.38, 2 Tb 3.40-3.73, 4 Pr 3.46-3.60
Tb  0.3994  0.9532  0.5257  1 Y 3.38, 2 Tb 3.40-3.73, 4 Pr 3.46-3.60
Tb  0.6006  0.0468  0.4743  1 Y 3.38, 2 Tb 3.40-3.73, 4 Pr 3.46-3.60
Tb  0.9532  0.3994  0.0257  1 Y 3.38, 2 Tb 3.40-3.73, 4 Pr 3.46-3.60
Pr  0.0006  0.3589  0.3311  4 Tb 3.46-3.81, 5 Pr 3.53-3.65, 1 Y 3.71
Pr  0.1878  0.5345  0.3422  2 Tb 3.17-3.54
Pr  0.3589  0.0006  0.8311  4 Tb 3.46-3.81, 5 Pr 3.53-3.65, 1 Y 3.71
Pr  0.4106  0.5894  0.7500  2 Y 3.10-3.25
Pr  0.4655  0.8122  0.1578  2 Tb 3.17-3.54
Pr  0.5345  0.1878  0.8422  2 Tb 3.17-3.54
Pr  0.5894  0.4106  0.2500  2 Y 3.10-3.25
Pr  0.6411  0.9994  0.1689  4 Tb 3.46-3.81, 5 Pr 3.53-3.65, 1 Y 3.71
Pr  0.8122  0.4655  0.6578  2 Tb 3.17-3.54
Pr  0.9994  0.6411  0.6689  4 Tb 3.46-3.81, 5 Pr 3.53-3.65, 1 Y 3.71
Y  0.1006  0.8994  0.2500  4 Tb 3.02-3.38, 2 Pr 3.10-3.25
Y  0.8994  0.1006  0.7500  4 Tb 3.02-3.38, 2 Pr 3.10-3.25

Properties
Crystal system: monoclinic
Symmetry: C2/c (15)

***

(2)
The following is a PBE-GGA calculation of a relaxed structure of Tb3Pr5Y, from Alexandria via LeMat-Bulk.

a b c (Å): 8.4740 8.4740 10.0306
angles (deg): 101.02 101.02 89.53
Closest atoms and distances in Å follow each position.
Sites, in units of the cell vectors:
Tb  0.0000  0.0000  0.0000  6 Pr 3.23-3.58, 2 Tb 3.25, 2 Y 3.55
Tb  0.0005  0.0005  0.6758  5 Pr 3.24-3.44, 2 Tb 3.25-3.52, 1 Y 3.37
Tb  0.4926  0.4926  0.1599  1 Y 3.22, 2 Tb 3.26-3.39, 5 Pr 3.33-3.56
Tb  0.5000  0.5000  0.5000  4 Pr 3.02-3.35, 2 Y 3.17
Tb  0.5074  0.5074  0.8401  1 Y 3.22, 2 Tb 3.26-3.39, 5 Pr 3.33-3.56
Tb  0.9995  0.9995  0.3242  5 Pr 3.24-3.44, 2 Tb 3.25-3.52, 1 Y 3.37
Pr  0.1002  0.6004  0.8547  1 Y 3.37, 1 Pr 3.38, 2 Tb 3.56-3.58
Pr  0.2415  0.2415  0.9166  4 Tb 3.23-3.49, 3 Pr 3.38, 1 Y 3.45
Pr  0.2473  0.7527  0.5000  1 Tb 3.02
Pr  0.2483  0.2483  0.5820  1 Y 3.22, 4 Tb 3.35-3.48, 1 Pr 3.38
Pr  0.3996  0.8998  0.1453  1 Y 3.37, 1 Pr 3.38, 2 Tb 3.56-3.58
Pr  0.6004  0.1002  0.8547  1 Y 3.37, 1 Pr 3.38, 2 Tb 3.56-3.58
Pr  0.7517  0.7517  0.4180  1 Y 3.22, 4 Tb 3.35-3.48, 1 Pr 3.38
Pr  0.7527  0.2473  0.5000  1 Tb 3.02
Pr  0.7585  0.7585  0.0834  4 Tb 3.23-3.49, 3 Pr 3.38, 1 Y 3.45
Pr  0.8998  0.3996  0.1453  1 Y 3.37, 1 Pr 3.38, 2 Tb 3.56-3.58
Y  0.2630  0.2630  0.2664  3 Tb 3.17-3.37, 4 Pr 3.22-3.45
Y  0.7370  0.7370  0.7336  3 Tb 3.17-3.37, 4 Pr 3.22-3.45

Properties
Crystal system: monoclinic
Symmetry: C2/m (12)

***

The most stable arrangement is (1), and the next structure is 19.5 kJ/mol of atoms less stable.

***

(1)
The following is a PBE-GGA calculation of a relaxed structure of TbPr6Y4, from Alexandria via LeMat-Bulk.

a b c (Å): 9.5419 9.5419 9.5419
angles (deg): 137.51 137.51 61.65
Closest atoms and distances in Å follow each position.
Sites, in units of the cell vectors:
Tb  0.0000  0.0000  0.0000  8 Pr 3.46-3.47, 4 Y 3.68
Pr  0.0000  0.5000  0.5000  4 Y 3.14, 2 Tb 3.46
Pr  0.0140  0.6303  0.0000  5 Y 3.46-3.86, 1 Tb 3.47, 3 Pr 3.75-3.85
Pr  0.3697  0.3697  0.3837  5 Y 3.46-3.86, 1 Tb 3.47, 3 Pr 3.75-3.85
Pr  0.5000  0.0000  0.5000  4 Y 3.14, 2 Tb 3.46
Pr  0.6303  0.0140  0.0000  5 Y 3.46-3.86, 1 Tb 3.47, 3 Pr 3.75-3.85
Pr  0.9860  0.9860  0.6163  5 Y 3.46-3.86, 1 Tb 3.47, 3 Pr 3.75-3.85
Y  0.2150  0.2150  0.6530  3 Pr 3.14-3.46, 1 Y 3.39
Y  0.4380  0.7850  0.0000  3 Pr 3.14-3.46, 1 Y 3.39
Y  0.5620  0.5620  0.3470  3 Pr 3.14-3.46, 1 Y 3.39
Y  0.7850  0.4380  0.0000  3 Pr 3.14-3.46, 1 Y 3.39

Properties
Crystal system: tetragonal
Symmetry: I-42m (121)

***

(2)
The following is a PBE-GGA calculation of a relaxed structure of TbPr6Y4, from Alexandria via LeMat-Bulk.

a b c (Å): 10.0054 10.0054 10.0054
angles (deg): 141.25 141.25 55.96
Closest atoms and distances in Å follow each position.
Sites, in units of the cell vectors:
Tb  0.0000  0.0000  0.0000  4 Pr 3.32, 4 Y 3.56
Pr  0.0000  0.5000  0.5000  2 Tb 3.32, 4 Pr 3.40
Pr  0.1882  0.5444  0.0000  3 Pr 3.34-3.40, 5 Y 3.36-3.57
Pr  0.4556  0.4556  0.6438  3 Pr 3.34-3.40, 5 Y 3.36-3.57
Pr  0.5000  0.0000  0.5000  2 Tb 3.32, 4 Pr 3.40
Pr  0.5444  0.1882  0.0000  3 Pr 3.34-3.40, 5 Y 3.36-3.57
Pr  0.8118  0.8118  0.3562  3 Pr 3.34-3.40, 5 Y 3.36-3.57
Y  0.0089  0.0089  0.3699  5 Pr 3.36-3.57, 1 Y 3.47, 1 Tb 3.56
Y  0.3610  0.9911  0.0000  5 Pr 3.36-3.57, 1 Y 3.47, 1 Tb 3.56
Y  0.6390  0.6390  0.6301  5 Pr 3.36-3.57, 1 Y 3.47, 1 Tb 3.56
Y  0.9911  0.3610  0.0000  5 Pr 3.36-3.57, 1 Y 3.47, 1 Tb 3.56

Properties
Crystal system: tetragonal
Symmetry: I-42m (121)

***

The most stable arrangement is (2), and the next structure is 2.9 kJ/mol of atoms less stable.

***

(1)
The following is a PBE-GGA calculation of a relaxed structure of Tb6PrY4, from Alexandria via LeMat-Bulk.

a b c (Å): 9.7960 9.7960 9.7960
angles (deg): 140.56 140.56 57.00
Closest atoms and distances in Å follow each position.
Sites, in units of the cell vectors:
Tb  0.0000  0.5000  0.5000  2 Pr 3.31, 4 Y 3.33
Tb  0.0138  0.6414  0.0000  5 Y 3.36-3.53, 1 Pr 3.44, 1 Tb 3.48
Tb  0.3586  0.3586  0.3724  5 Y 3.36-3.53, 1 Pr 3.44, 1 Tb 3.48
Tb  0.5000  0.0000  0.5000  2 Pr 3.31, 4 Y 3.33
Tb  0.6414  0.0138  0.0000  5 Y 3.36-3.53, 1 Pr 3.44, 1 Tb 3.48
Tb  0.9862  0.9862  0.6276  5 Y 3.36-3.53, 1 Pr 3.44, 1 Tb 3.48
Pr  0.0000  0.0000  0.0000  8 Tb 3.31-3.44
Y  0.1878  0.1878  0.6410  7 Tb 3.33-3.53, 1 Y 3.36
Y  0.4532  0.8122  0.0000  7 Tb 3.33-3.53, 1 Y 3.36
Y  0.5468  0.5468  0.3590  7 Tb 3.33-3.53, 1 Y 3.36
Y  0.8122  0.4532  0.0000  7 Tb 3.33-3.53, 1 Y 3.36

Properties
Crystal system: tetragonal
Symmetry: I-42m (121)

***

(2)
The following is a PBE-GGA calculation of a relaxed structure of Tb6PrY4, from Alexandria via LeMat-Bulk.

a b c (Å): 9.8118 9.8118 9.8118
angles (deg): 140.89 140.89 56.51
Closest atoms and distances in Å follow each position.
Sites, in units of the cell vectors:
Tb  0.0000  0.5000  0.5000  2 Pr 3.28, 4 Tb 3.31
Tb  0.0479  0.6906  0.0000  3 Tb 3.31-3.32, 5 Y 3.35-3.54
Tb  0.3094  0.3094  0.3574  3 Tb 3.31-3.32, 5 Y 3.35-3.54
Tb  0.5000  0.0000  0.5000  2 Pr 3.28, 4 Tb 3.31
Tb  0.6906  0.0479  0.0000  3 Tb 3.31-3.32, 5 Y 3.35-3.54
Tb  0.9521  0.9521  0.6426  3 Tb 3.31-3.32, 5 Y 3.35-3.54
Pr  0.5000  0.5000  0.0000  4 Tb 3.28, 4 Y 3.50
Y  0.1374  0.1374  0.6259  5 Tb 3.35-3.54, 1 Y 3.47, 1 Pr 3.50
Y  0.4885  0.8626  0.0000  5 Tb 3.35-3.54, 1 Y 3.47, 1 Pr 3.50
Y  0.5115  0.5115  0.3741  5 Tb 3.35-3.54, 1 Y 3.47, 1 Pr 3.50
Y  0.8626  0.4885  0.0000  5 Tb 3.35-3.54, 1 Y 3.47, 1 Pr 3.50

Properties
Crystal system: tetragonal
Symmetry: I-42m (121)

***

The most stable arrangement is (2), and the next structure is 1.7 kJ/mol of atoms less stable.